First-principles (PBE) data for a relaxed LaEu3Ni crystal, as listed in the Alexandria database.

abc: 5.6341 5.6341 5.6341
angles: 90.00 90.00 90.00
Site moments in Bohr magnetons follow the coordinates.
Fractional coordinates of all 5 atoms:
Eu 0.5000 0.0000 0.0000  -6.87
Eu 0.0000 0.0000 0.5000  -6.87
Eu 0.0000 0.5000 0.0000  -6.87
La 0.5000 0.5000 0.5000  -0.24
Ni 0.0000 0.0000 0.0000  0.22

Values from the calculation:
Energy of formation from the pure elements: 0.063 eV per atom



First-principles (PBE) data for a relaxed LaEuNi crystal, as listed in the Alexandria database.

abc: 3.5905 3.5905 7.0425
angles: 104.77 104.77 90.00
Site moments in Bohr magnetons follow the coordinates.
Fractional coordinates of all 3 atoms:
Eu 0.0349 0.0349 0.0697  6.91
Ni 0.6767 0.6767 0.3533  0.00
La 0.2885 0.2885 0.5769  0.04

Values from the calculation:
Energy above the most stable polymorph in this dataset: 0 meV/atom
Energy of formation from the pure elements: -0.133 eV per atom



First-principles (PBE) data for a relaxed LaEuNi crystal, as listed in the Alexandria database.

abc: 4.9496 4.9496 4.9496
angles: 60.00 60.00 60.00
Site moments in Bohr magnetons follow the coordinates.
Fractional coordinates of all 3 atoms:
Ni 0.2500 0.2500 0.2500  -0.09
Eu 0.0000 0.0000 0.0000  6.85
La 0.5000 0.5000 0.5000  0.12

Values from the calculation:
Energy above the most stable polymorph in this dataset: 69 meV/atom
Energy of formation from the pure elements: -0.064 eV per atom



First-principles (PBE) data for a relaxed LaEuNiPt crystal, as listed in the Alexandria database.

abc: 5.0663 5.0663 5.0663
angles: 60.00 60.00 60.00
Site moments in Bohr magnetons follow the coordinates.
Fractional coordinates of all 4 atoms:
Eu 0.5000 0.5000 0.5000  -6.79
La 0.0000 0.0000 0.0000  -0.05
Pt 0.7500 0.7500 0.7500  0.02
Ni 0.2500 0.2500 0.2500  0.02

Values from the calculation:
Energy of formation from the pure elements: -0.601 eV per atom



First-principles (PBE) data for a relaxed LaEuNiRh crystal, as listed in the Alexandria database.

abc: 5.0081 5.0081 5.0081
angles: 60.00 60.00 60.00
Site moments in Bohr magnetons follow the coordinates.
Fractional coordinates of all 4 atoms:
Rh 0.7500 0.7500 0.7500  -0.18
La 0.5000 0.5000 0.5000  0.04
Eu 0.0000 0.0000 0.0000  6.73
Ni 0.2500 0.2500 0.2500  -0.19

Values from the calculation:
Energy of formation from the pure elements: -0.341 eV per atom



First-principles (PBE) data for a relaxed LaEuTlNi crystal, as listed in the Alexandria database.

abc: 5.3555 5.3555 5.3555
angles: 60.00 60.00 60.00
Site moments in Bohr magnetons follow the coordinates.
Fractional coordinates of all 4 atoms:
Ni 0.2500 0.2500 0.2500  0.05
La 0.5000 0.5000 0.5000  -0.02
Eu 0.0000 0.0000 0.0000  -6.82
Tl 0.7500 0.7500 0.7500  -0.01

Values from the calculation:
Energy of formation from the pure elements: -0.160 eV per atom



First-principles (PBE) data for a relaxed LaEuO2 crystal, as listed in the Alexandria database.

abc: 3.1250 3.1250 6.2466
angles: 90.00 90.00 90.00
Site moments in Bohr magnetons follow the coordinates.
Fractional coordinates of all 4 atoms:
O 0.0000 0.0000 0.2530  -0.03
O 0.0000 0.0000 0.7470  -0.03
La 0.5000 0.5000 0.5000  0.05
Eu 0.5000 0.5000 0.0000  6.94

Values from the calculation:
Energy above the most stable polymorph in this dataset: 491 meV/atom
E_form (uncorrected): -2.312 eV/atom



First-principles (PBE) data for a relaxed LaEuO crystal, as listed in the Alexandria database.

abc: 3.7399 3.7399 6.2587
angles: 90.00 90.00 120.00
Site moments in Bohr magnetons follow the coordinates.
Fractional coordinates of all 3 atoms:
O 0.3333 0.6667 0.6646  -0.02
La 0.6667 0.3333 0.4438  0.32
Eu 0.0000 0.0000 0.8916  6.96

Values from the calculation:
E_form (uncorrected): -1.709 eV/atom



First-principles (PBE) data for a relaxed LaEuO2 crystal, as listed in the Alexandria database.

abc: 3.6035 3.6035 6.3026
angles: 73.39 73.39 60.00
Site moments in Bohr magnetons follow the coordinates.
Fractional coordinates of all 4 atoms:
O 0.7518 0.7518 0.7445  -0.04
O 0.2482 0.2482 0.2555  -0.04
Eu 0.5000 0.5000 0.5000  6.75
La 0.0000 0.0000 0.0000  0.02

Values from the calculation:
Energy above the most stable polymorph in this dataset: 0 meV/atom
E_form (uncorrected): -2.804 eV/atom



First-principles (PBE) data for a relaxed La2EuO crystal, as listed in the Alexandria database.

abc: 3.8015 3.8015 9.8269
angles: 78.85 78.85 60.00
Site moments in Bohr magnetons follow the coordinates.
Fractional coordinates of all 4 atoms:
La 0.7144 0.7144 0.8568  0.00
La 0.2856 0.2856 0.1432  0.00
Eu 0.5000 0.5000 0.5000  6.98
O 0.0000 0.0000 0.0000  0.00

Values from the calculation:
E_form (uncorrected): -1.266 eV/atom



First-principles (PBE) data for a relaxed LaEuOs crystal, as listed in the Alexandria database.

abc: 4.9300 4.9300 4.9300
angles: 60.00 60.00 60.00
Site moments in Bohr magnetons follow the coordinates.
Fractional coordinates of all 3 atoms:
La 0.0000 0.0000 0.0000  0.07
Os 0.2500 0.2500 0.2500  -0.16
Eu 0.5000 0.5000 0.5000  6.80

Values from the calculation:
Energy of formation from the pure elements: 0.081 eV per atom



First-principles (PBE) data for a relaxed La4Eu2Os crystal, as listed in the Alexandria database.

abc: 5.6445 5.6445 10.1476
angles: 73.85 73.85 90.00
Site moments in Bohr magnetons follow the coordinates.
Fractional coordinates of all 7 atoms:
La 0.8507 0.8507 0.2986  0.10
La 0.0000 0.5000 0.0000  0.03
La 0.5000 0.0000 0.0000  0.03
La 0.1493 0.1493 0.7014  0.10
Eu 0.6530 0.6530 0.6939  6.95
Eu 0.3470 0.3470 0.3061  6.95
Os 0.0000 0.0000 0.0000  -0.02

Values from the calculation:
Energy of formation from the pure elements: 0.130 eV per atom



How do the records compare in total magnetization? In the order shown, they have 22.0 7.4 7.3 7.1 6.6 7.0 7.1 8.2 6.9 7.5 7.1 15.2 μB per cell.